A plane-wave DFT calculation with PBE+U was carried out for Mn2AgNF after structural relaxation.

Its mass density is 4.94 Mg/m³. Its crystal system is tetragonal. As for the electronic total energy: -24.7 eV/cell.

The space group is P4/mmm (No. 123) and the conventional cell measures 4.315, 4.315 and 4.526 Å, with angles of 90.00, 90.00 and 90.00 degrees. The distinct sites, in fractional coordinates, are Mn at (0.000, 0.500, 0.000), Ag at (0.000, 0.000, 0.500), N at (0.500, 0.500, 0.500) and F at (0.000, 0.000, 0.000).